[1]
First-principles (PBE) data for crystalline CaMgCu2 at its relaxed geometry, as listed in Alexandria via LeMat-Bulk.

Output
energy of formation	204	meV/atom
crystal system	monoclinic
space group	No. 10

Structure (POSCAR):
```
CaMgCu2
1.0
4.667 0.000 0.000
0.000 3.264 0.000
-0.990 0.000 5.483
Ca Mg Cu
1 1 2
direct
0.000 0.000 0.000
0.500 0.500 0.500
0.000 0.000 0.500
0.500 0.500 0.000
```


[2]
First-principles (PBE) data for crystalline Nd3MnNi8 at its relaxed geometry, as listed in Alexandria via LeMat-Bulk.

Output
energy of formation	-248	meV/atom
crystal system	trigonal
space group	No. 160

Structure (POSCAR):
```
Nd3MnNi8
1.0
2.532 1.462 8.320
-2.532 1.462 8.320
0.000 -2.924 8.320
Nd Mn Ni
3 1 8
direct
0.000 0.000 0.000
0.128 0.128 0.128
0.614 0.614 0.614
0.492 0.492 0.492
0.057 0.057 0.560
0.057 0.560 0.057
0.067 0.561 0.561
0.311 0.311 0.311
0.560 0.057 0.057
0.561 0.067 0.561
0.561 0.561 0.067
0.811 0.811 0.811
```


[3]
First-principles (PBE) data for crystalline LiMg4Hg3 at its relaxed geometry, as listed in Alexandria via LeMat-Bulk.

Output
energy of formation	-244	meV/atom
crystal system	trigonal
space group	No. 166

Structure (POSCAR):
```
LiMg4Hg3
1.0
2.427 1.401 8.125
-2.427 1.401 8.125
0.000 -2.802 8.125
Li Mg Hg
1 4 3
direct
0.000 0.000 0.000
0.126 0.126 0.126
0.379 0.379 0.379
0.621 0.621 0.621
0.874 0.874 0.874
0.261 0.261 0.261
0.500 0.500 0.500
0.739 0.739 0.739
```


[4]
First-principles (PBE) data for crystalline Hg4TePI2 at its relaxed geometry, as listed in Alexandria via LeMat-Bulk.

Output
E_tot	-25.1	eV for the cell shown
crystal system	orthorhombic
space group	No. 74

Structure (POSCAR):
```
Hg4TePI2
1.0
-4.178 4.246 6.797
4.178 -4.246 6.797
4.178 4.246 -6.797
Hg Te P I
8 2 2 4
direct
0.270 0.236 0.034
0.299 0.764 0.534
0.302 0.287 0.485
0.302 0.816 0.015
0.698 0.184 0.985
0.698 0.713 0.515
0.701 0.236 0.466
0.730 0.764 0.966
0.000 0.000 0.000
0.500 0.000 0.500
0.500 0.000 0.000
0.500 0.500 0.500
0.000 0.000 0.500
0.000 0.500 0.000
0.000 0.500 0.500
0.500 0.500 0.000
```


[5]
First-principles (PBE) data for crystalline Tb3Pm8Nd2 at its relaxed geometry, as listed in Alexandria via LeMat-Bulk.

Output
energy of formation	211	meV/atom
crystal system	monoclinic
offset from the most stable computed form	195	meV/atom
space group	No. 12

Structure (POSCAR):
```
Tb3Pm8Nd2
1.0
10.368 -3.855 0.000
10.368 3.855 0.000
-0.002 0.000 5.713
Tb Pm Nd
3 8 2
direct
0.000 0.000 0.000
0.286 0.714 0.500
0.714 0.286 0.500
0.131 0.131 0.500
0.189 0.602 0.000
0.331 0.331 0.499
0.398 0.811 0.000
0.602 0.189 0.000
0.669 0.669 0.501
0.811 0.398 0.000
0.869 0.869 0.500
0.241 0.241 0.999
0.759 0.759 0.001
```


[6]
First-principles (PBE) data for crystalline Dy2TmHg6 at its relaxed geometry, as listed in Alexandria via LeMat-Bulk.

Output
energy of formation	-388	meV/atom
crystal system	monoclinic
space group	No. 15

Structure (POSCAR):
```
Dy2TmHg6
1.0
7.167 -5.826 0.000
7.167 5.826 0.000
-0.941 0.000 5.334
Dy Tm Hg
4 2 12
direct
0.041 0.292 0.083
0.292 0.041 0.583
0.708 0.959 0.417
0.959 0.708 0.917
0.375 0.625 0.750
0.625 0.375 0.250
0.071 0.818 0.471
0.155 0.404 0.638
0.182 0.929 0.029
0.266 0.514 0.196
0.404 0.155 0.138
0.486 0.734 0.304
0.514 0.266 0.696
0.596 0.845 0.862
0.734 0.486 0.804
0.818 0.071 0.971
0.845 0.596 0.362
0.929 0.182 0.529
```


| no. | calculated volume (Å³/cell) |
| --- | --- |
| 1 | 84 |
| 2 | 185 |
| 3 | 166 |
| 4 | 482 |
| 5 | 457 |
| 6 | 445 |